Entry from Alexandria: an optimized crystal structure of U3Tc2 (PBE).

Results
DOS at the Fermi energy = 48.09 states/eV/cell
V = 20.16 Å³/atom
Calculated formation energy = 0.197 eV/atom

The structure in CIF format:
```
data_U3Tc2
_chemical_formula_sum 'U12 Tc8'
_cell_length_a 6.967
_cell_length_b 8.034
_cell_length_c 7.205
_cell_angle_alpha 90.00
_cell_angle_beta 90.00
_cell_angle_gamma 90.00
_symmetry_space_group_name_H-M 'C m c 21'
_symmetry_Int_Tables_number 36
loop_
_symmetry_equiv_pos_as_xyz
'x,y,z'
'-x,-y,z+1/2'
'-x,y,z'
'x,-y,z+1/2'
'x+1/2,y+1/2,z'
'-x+1/2,-y+1/2,z+1/2'
'-x+1/2,y+1/2,z'
'x+1/2,-y+1/2,z+1/2'
loop_
_atom_site_label
_atom_site_type_symbol
_atom_site_fract_x
_atom_site_fract_y
_atom_site_fract_z
U1 U 0.000 0.250 0.000
U2 U 0.250 0.069 0.250
Tc1 Tc 0.000 0.133 0.624
Tc2 Tc 0.000 0.368 0.375
```